Compound: ScAlWO6
Source: Alexandria via LeMat-Bulk
Functional: PBE with a Hubbard U
Structure: relaxed

Output
E   -7.911 eV/atom
M_tot   0.00 μB/f.u.

extended XYZ file:
```
18
Lattice="5.012 0.000 0.000 -2.506 4.340 0.000 0.000 0.000 9.227" Properties=species:S:1:pos:R:3 pbc="T T T"
O 1.640 2.804 1.255
O 0.743 4.322 7.972
O -1.609 2.823 7.972
O -0.866 1.536 5.869
Al 2.506 1.447 2.307
Al 0.000 2.894 6.920
Sc 0.000 0.000 4.613
O 0.897 1.518 3.358
W 0.000 2.894 2.307
Sc 0.000 0.000 0.000
O 3.249 0.018 3.358
O 4.114 1.518 1.255
O -0.743 4.322 5.869
O 0.866 1.536 7.972
O 1.609 2.823 5.869
O 1.763 0.018 1.255
W 2.506 1.447 6.920
O 3.371 2.804 3.358
```